{
  "formula": "NdZrSn2",
  "functional": "GGA-PBE",
  "state": "relaxed",
  "e_tot_ev_per_atom": -5.697,
  "total_magnetization_mub_per_cell": 0.00,
  "ef_ev_per_atom": -0.3661,
  "n_ef_per_ev_fu": 2.33,
  "spacegroup": "R-3m",
  "polymorph_energy_ev_per_fu": 0.53,
  "lattice_angstrom": [[-1.648, -0.581, -2.937], [1.474, -1.880, -2.444], [-4.233, -9.327, 2.232]],
  "species": ["Nd", "Sn", "Sn", "Zr"],
  "frac_coords": [[0.500, 0.500, 0.500], [0.744, 0.744, 0.767], [0.256, 0.256, 0.233], [0.000, 0.000, 0.000]]
}